## AcAlGa2 (PBE)

Data for a relaxed AcAlGa2 crystal.

CIF file:
```
data_AcAlGa2
_symmetry_space_group_name_H-M 'R -3 m'
_symmetry_Int_Tables_number 166
_symmetry_space_group_name_Hall '-R 3 2"'
_cell_length_a 4.4313
_cell_length_b 4.4313
_cell_length_c 16.9788
_cell_angle_alpha 90.00
_cell_angle_beta 90.00
_cell_angle_gamma 120.00
loop_
_atom_site_label
_atom_site_type_symbol
_atom_site_fract_x
_atom_site_fract_y
_atom_site_fract_z
Ac1 Ac 0.0000 0.0000 0.0000
Al1 Al 0.0000 0.0000 0.5000
Ga1 Ga 0.0000 0.0000 0.2151
```

## Properties
DOS(E_F) in states/eV per cell: 3.3
Energy of formation in meV/atom: -446
Raw total energy in Ha/atom: -0.144
Excess energy over the best structure of this formula in the dataset in eV/atom: 0.0000



## Ac2Al3Ga (PBE)

Data for a relaxed Ac2Al3Ga crystal.

CIF file:
```
data_Ac2Al3Ga
_symmetry_space_group_name_H-M 'F m m m'
_symmetry_Int_Tables_number 69
_symmetry_space_group_name_Hall '-F 2 2'
_cell_length_a 8.970
_cell_length_b 9.426
_cell_length_c 15.541
_cell_angle_alpha 90.00
_cell_angle_beta 90.00
_cell_angle_gamma 90.00
loop_
_atom_site_label
_atom_site_type_symbol
_atom_site_fract_x
_atom_site_fract_y
_atom_site_fract_z
Ac1 Ac 0.000 0.249 0.000
Ac2 Ac 0.250 0.250 0.250
Al1 Al 0.000 0.000 0.332
Al2 Al 0.249 0.000 0.084
Ga1 Ga 0.000 0.000 0.167
```

## Properties
DOS(E_F) in states/eV per cell: 31.7
Energy of formation in meV/atom: -473
Raw total energy in Ha/atom: -0.155



## Ac3Al2Ga4 (PBE)

Data for a relaxed Ac3Al2Ga4 crystal.

CIF file:
```
data_Ac3Al2Ga4
_symmetry_space_group_name_H-M 'C 1 2/m 1'
_symmetry_Int_Tables_number 12
_cell_length_a 12.128
_cell_length_b 4.437
_cell_length_c 9.008
_cell_angle_alpha 90.00
_cell_angle_beta 97.79
_cell_angle_gamma 90.00
loop_
_symmetry_equiv_pos_as_xyz
'x,y,z'
'-x,-y,-z'
'-x,y,-z'
'x,-y,z'
'x+1/2,y+1/2,z'
'-x+1/2,-y+1/2,-z'
'-x+1/2,y+1/2,-z'
'x+1/2,-y+1/2,z'
loop_
_atom_site_label
_atom_site_type_symbol
_atom_site_fract_x
_atom_site_fract_y
_atom_site_fract_z
Ac1 Ac 0.000 0.000 0.000
Ac2 Ac 0.165 0.500 0.668
Al1 Al 0.111 0.500 0.278
Ga1 Ga 0.058 0.000 0.391
Ga2 Ga 0.220 0.500 0.053
```

## Properties
DOS(E_F) in states/eV per cell: 12.4
Energy of formation in meV/atom: -573
Raw total energy in Ha/atom: -0.151
Excess energy over the best structure of this formula in the dataset in eV/atom: 0.0000



## Ac2Al3Ga2 (PBE)

Data for a relaxed Ac2Al3Ga2 crystal.

CIF file:
```
data_Ac2Al3Ga2
_symmetry_space_group_name_H-M 'C 1 2/m 1'
_symmetry_Int_Tables_number 12
_cell_length_a 12.006
_cell_length_b 4.345
_cell_length_c 6.973
_cell_angle_alpha 90.00
_cell_angle_beta 102.14
_cell_angle_gamma 90.00
loop_
_symmetry_equiv_pos_as_xyz
'x,y,z'
'-x,-y,-z'
'-x,y,-z'
'x,-y,z'
'x+1/2,y+1/2,z'
'-x+1/2,-y+1/2,-z'
'-x+1/2,y+1/2,-z'
'x+1/2,-y+1/2,z'
loop_
_atom_site_label
_atom_site_type_symbol
_atom_site_fract_x
_atom_site_fract_y
_atom_site_fract_z
Ac1 Ac 0.165 0.000 0.240
Al1 Al 0.000 0.500 0.500
Al2 Al 0.069 0.500 0.880
Ga1 Ga 0.124 0.000 0.706
```

## Properties
DOS(E_F) in states/eV per cell: 6.4
Energy of formation in meV/atom: -447
Raw total energy in Ha/atom: -0.150
Excess energy over the best structure of this formula in the dataset in eV/atom: 0.0000



What did we get for calculated volume? Answer: 289, 1314, 480, 356 Å³/cell, in the order shown.